# 1
! K2Hg4Bi2Pd, optimized geometry, DFT PBE-GGA; values from VASP
&SYSTEM
  ibrav = 0, nat = 9, ntyp = 4
/
ATOMIC_SPECIES
Hg 200.59 Hg.upf
Bi 208.98 Bi.upf
K 39.10 K.upf
Pd 106.42 Pd.upf
CELL_PARAMETERS angstrom
7.146 -0.293 -0.462
-3.139 6.427 0.462
-3.139 -2.325 6.009
ATOMIC_POSITIONS crystal
Hg 0.000 0.264 0.736
Hg 0.000 0.736 0.264
Hg 0.529 0.264 0.264
Hg 0.471 0.736 0.736
Bi 0.000 0.709 0.709
Bi 0.000 0.291 0.291
K 0.500 0.250 0.750
K 0.500 0.750 0.250
Pd 0.000 0.000 0.000
! - crystal system = tetragonal
! - V (Å³/cell) = 266
! - energy relative to the elements (meV per atom) = -197

# 2
! K2Hg6BiPd, optimized geometry, DFT PBE-GGA; values from VASP
&SYSTEM
  ibrav = 0, nat = 20, ntyp = 4
/
ATOMIC_SPECIES
Hg 200.59 Hg.upf
Bi 208.98 Bi.upf
K 39.10 K.upf
Pd 106.42 Pd.upf
CELL_PARAMETERS angstrom
-4.604 4.461 -3.611
-2.502 -1.901 -6.653
-12.989 -5.424 2.366
ATOMIC_POSITIONS crystal
Hg 0.782 0.345 0.091
Hg 0.076 0.672 0.580
Hg 0.218 0.655 0.909
Hg 0.672 0.076 0.580
Hg 0.672 0.672 0.580
Hg 0.345 0.782 0.091
Hg 0.218 0.218 0.909
Hg 0.655 0.218 0.909
Hg 0.924 0.328 0.420
Hg 0.782 0.782 0.091
Hg 0.328 0.924 0.420
Hg 0.328 0.328 0.420
Bi 0.426 0.426 0.722
Bi 0.574 0.574 0.278
K 0.108 0.108 0.677
K 0.722 0.722 0.834
K 0.278 0.278 0.166
K 0.892 0.892 0.323
Pd 0.500 0.500 0.500
Pd 0.000 0.000 0.000
! - crystal system = trigonal
! - V (Å³/cell) = 639
! - energy relative to the elements (meV per atom) = -181